Density functional theory data (PBE) for an optimized crystal structure of TiHgSeO5. Values from VASP.

Results
* E_form (uncorrected): -1.34 eV/atom
* SG: No. 15

The structure in Quantum ESPRESSO input format:
```
&SYSTEM
  ibrav = 0, nat = 16, ntyp = 4
/
ATOMIC_SPECIES
Ti 47.87 Ti.upf
Hg 200.59 Hg.upf
Se 78.96 Se.upf
O 16.00 O.upf
CELL_PARAMETERS angstrom
5.763 0.356 -0.151
-1.341 5.616 -0.151
-2.014 -2.721 6.946
ATOMIC_POSITIONS angstrom
Ti -1.007 -1.360 3.473
Ti 0.000 0.000 0.000
Hg 0.372 3.294 1.585
Hg 2.035 -0.043 5.058
Se 3.075 1.293 1.585
Se -0.668 1.958 5.058
O 5.230 -0.302 1.585
O -2.823 3.553 5.058
O 4.423 1.821 0.058
O -2.016 1.430 6.585
O 2.964 -0.150 3.112
O -0.557 3.402 3.531
O 2.712 2.813 2.347
O -0.305 0.439 4.296
O 1.516 1.196 0.823
O 0.891 2.055 5.820
```

=====

Density functional theory data (PBE) for an optimized crystal structure of Mg6Cd4Pb. Values from VASP.

Results
* SG: No. 121
* formation energy: 0.0437 eV/atom

The structure in Quantum ESPRESSO input format:
```
&SYSTEM
  ibrav = 0, nat = 11, ntyp = 3
/
ATOMIC_SPECIES
Mg 24.30 Mg.upf
Cd 112.41 Cd.upf
Pb 207.20 Pb.upf
CELL_PARAMETERS angstrom
-1.604 -4.523 -5.616
5.026 -1.984 5.038
-4.928 1.108 5.390
ATOMIC_POSITIONS angstrom
Mg 1.684 -1.137 7.505
Mg -1.543 -0.134 7.620
Mg -1.073 -3.155 -2.620
Mg -3.266 -1.707 -0.113
Mg -0.478 -1.849 2.735
Mg 1.711 -3.254 -0.289
Cd -1.672 0.155 4.546
Cd -1.013 -3.314 0.465
Cd 1.755 -0.909 4.424
Cd -0.480 -2.207 5.804
Pb 0.000 0.000 0.000
```

=====

Density functional theory data (PBE) for an optimized crystal structure of BeP2WCl. Values from VASP.

Results
* E_form (uncorrected): 0.80 eV/atom
* SG: No. 123

The structure in Quantum ESPRESSO input format:
```
&SYSTEM
  ibrav = 0, nat = 5, ntyp = 4
/
ATOMIC_SPECIES
P 30.97 P.upf
Be 9.01 Be.upf
W 183.84 W.upf
Cl 35.45 Cl.upf
CELL_PARAMETERS angstrom
-4.505 -0.784 -1.054
-0.572 -2.219 4.095
-1.231 4.226 2.118
ATOMIC_POSITIONS angstrom
P -0.286 -1.109 2.048
P -2.253 -0.392 -0.527
Be -3.154 0.612 2.580
W 0.000 0.000 0.000
Cl -0.615 2.113 1.059
```

=====

Density functional theory data (PBE) for an optimized crystal structure of SrIn2AgSn2. Values from VASP.

Results
* SG: No. 139
* formation energy: 0.0498 eV/atom

The structure in Quantum ESPRESSO input format:
```
&SYSTEM
  ibrav = 0, nat = 6, ntyp = 4
/
ATOMIC_SPECIES
Sr 87.62 Sr.upf
In 114.82 In.upf
Ag 107.87 Ag.upf
Sn 118.71 Sn.upf
CELL_PARAMETERS angstrom
-2.863 -1.831 4.826
3.879 -4.404 0.630
2.955 6.654 0.667
ATOMIC_POSITIONS angstrom
Sr 0.508 -3.117 2.728
In 3.671 -0.434 2.013
In 0.300 0.853 4.111
Ag 0.000 0.000 0.000
Sn 2.450 -1.134 4.633
Sn 1.521 1.553 1.491
```

=====

Density functional theory data (PBE) for an optimized crystal structure of Nd3Dy2Hg2. Values from VASP.

Results
* SG: No. 65
* formation energy: -0.1180 eV/atom

The structure in Quantum ESPRESSO input format:
```
&SYSTEM
  ibrav = 0, nat = 7, ntyp = 3
/
ATOMIC_SPECIES
Nd 144.24 Nd.upf
Dy 162.50 Dy.upf
Hg 200.59 Hg.upf
CELL_PARAMETERS angstrom
4.907 0.000 0.651
0.000 3.551 0.000
0.909 0.000 11.962
ATOMIC_POSITIONS angstrom
Nd 4.468 0.000 3.961
Nd 0.000 0.000 0.000
Nd 1.349 0.000 8.652
Dy 4.009 1.775 7.418
Dy 1.807 1.775 5.195
Hg 3.582 1.775 10.634
Hg 2.234 1.775 1.979
```

=====

Density functional theory data (PBE) for an optimized crystal structure of SrZrFe3. Values from VASP.

Results
* SG: No. 221
* formation energy: 0.9958 eV/atom

The structure in Quantum ESPRESSO input format:
```
&SYSTEM
  ibrav = 0, nat = 5, ntyp = 3
/
ATOMIC_SPECIES
Sr 87.62 Sr.upf
Fe 55.84 Fe.upf
Zr 91.22 Zr.upf
CELL_PARAMETERS angstrom
4.876 0.000 0.000
0.000 4.876 0.000
0.000 0.000 4.876
ATOMIC_POSITIONS angstrom
Sr 2.438 2.438 2.438
Fe 0.000 2.438 0.000
Fe 0.000 0.000 2.438
Fe 2.438 0.000 0.000
Zr 0.000 0.000 0.000
```

=====

Density functional theory data (PBE) for an optimized crystal structure of AcCePt2. Values from VASP.

Results
* SG: No. 225
* formation energy: -0.9485 eV/atom

The structure in Quantum ESPRESSO input format:
```
&SYSTEM
  ibrav = 0, nat = 4, ntyp = 3
/
ATOMIC_SPECIES
Ac 227.00 Ac.upf
Ce 140.12 Ce.upf
Pt 195.08 Pt.upf
CELL_PARAMETERS angstrom
5.208 0.000 0.000
2.604 4.510 0.000
2.604 1.503 4.252
ATOMIC_POSITIONS angstrom
Ac 0.000 0.000 0.000
Ce 5.208 3.007 2.126
Pt 2.604 1.503 1.063
Pt 7.812 4.510 3.189
```

=====

Density functional theory data (PBE) for an optimized crystal structure of LaHo2Tl. Values from VASP.

Results
* SG: No. 11
* formation energy: 0.1044 eV/atom

The structure in Quantum ESPRESSO input format:
```
&SYSTEM
  ibrav = 0, nat = 8, ntyp = 3
/
ATOMIC_SPECIES
La 138.91 La.upf
Ho 164.93 Ho.upf
Tl 204.38 Tl.upf
CELL_PARAMETERS angstrom
3.478 0.000 0.000
0.000 5.677 1.614
0.000 2.200 13.888
ATOMIC_POSITIONS angstrom
La 0.870 1.911 9.519
La 2.609 5.966 5.984
Ho 2.609 1.262 0.941
Ho 0.870 4.297 11.929
Ho 2.609 3.580 3.573
Ho 0.870 6.615 14.562
Tl 0.870 5.178 8.807
Tl 2.609 2.699 6.696
```

=====

Density functional theory data (PBE) for an optimized crystal structure of NbTeS. Values from VASP.

Results
* E_form (uncorrected): -0.52 eV/atom
* SG: No. 107

The structure in Quantum ESPRESSO input format:
```
&SYSTEM
  ibrav = 0, nat = 3, ntyp = 3
/
ATOMIC_SPECIES
Nb 92.91 Nb.upf
Te 127.60 Te.upf
S 32.06 S.upf
CELL_PARAMETERS angstrom
-2.758 0.324 -1.574
-0.124 -3.160 -0.433
-1.930 0.759 6.773
ATOMIC_POSITIONS angstrom
Nb -2.680 -1.660 1.116
Te -0.245 -0.048 0.419
S -1.887 -0.369 3.230
```

=====

Density functional theory data (PBE) for an optimized crystal structure of Cr5Ag. Values from VASP.

Results
* SG: No. 8
* formation energy: 0.5516 eV/atom

The structure in Quantum ESPRESSO input format:
```
&SYSTEM
  ibrav = 0, nat = 6, ntyp = 2
/
ATOMIC_SPECIES
Cr 52.00 Cr.upf
Ag 107.87 Ag.upf
CELL_PARAMETERS angstrom
1.216 5.004 -0.015
-1.216 5.004 -0.015
0.000 1.374 6.300
ATOMIC_POSITIONS angstrom
Cr 0.000 6.569 1.871
Cr 0.000 3.877 2.050
Cr 0.000 10.173 3.888
Cr 0.000 7.576 4.027
Cr 0.000 4.011 5.971
Ag 0.000 1.418 6.259
```

=====

Density functional theory data (PBE) for an optimized crystal structure of La5Ho. Values from VASP.

Results
* SG: No. 123
* formation energy: 0.0181 eV/atom

The structure in Quantum ESPRESSO input format:
```
&SYSTEM
  ibrav = 0, nat = 6, ntyp = 2
/
ATOMIC_SPECIES
La 138.91 La.upf
Ho 164.93 Ho.upf
CELL_PARAMETERS angstrom
-1.267 1.779 -2.993
0.588 -3.030 -2.049
-14.448 -4.951 3.172
ATOMIC_POSITIONS angstrom
La -9.554 -3.274 2.098
La -12.337 -4.737 0.113
La 0.000 0.000 0.000
La -2.789 -1.465 -1.983
La -4.894 -1.677 1.075
Ho -7.563 -3.101 -0.935
```

=====

Density functional theory data (PBE) for an optimized crystal structure of YBeRe2. Values from VASP.

Results
* SG: No. 44
* formation energy: 0.2965 eV/atom

The structure in Quantum ESPRESSO input format:
```
&SYSTEM
  ibrav = 0, nat = 4, ntyp = 3
/
ATOMIC_SPECIES
Y 88.91 Y.upf
Re 186.21 Re.upf
Be 9.01 Be.upf
CELL_PARAMETERS angstrom
-0.307 -2.883 3.480
-0.904 -3.398 -2.855
3.690 2.279 -0.533
ATOMIC_POSITIONS angstrom
Y -0.605 -3.140 0.318
Re -0.903 -3.398 -2.848
Re 1.076 -2.142 -1.686
Be 1.402 -1.861 1.765
```

=====

Density functional theory data (PBE) for an optimized crystal structure of PrNd2ErSb4. Values from VASP.

Results
* E_form (uncorrected): -1.16 eV/atom
* SG: No. 10

The structure in Quantum ESPRESSO input format:
```
&SYSTEM
  ibrav = 0, nat = 8, ntyp = 4
/
ATOMIC_SPECIES
Pr 140.91 Pr.upf
Nd 144.24 Nd.upf
Er 167.26 Er.upf
Sb 121.76 Sb.upf
CELL_PARAMETERS angstrom
4.495 0.000 0.000
0.000 7.778 -0.152
0.000 2.737 7.279
ATOMIC_POSITIONS angstrom
Pr 2.248 3.889 -0.076
Nd 0.000 2.737 7.279
Nd 2.248 1.369 3.640
Er 0.000 5.258 3.564
Sb 0.000 7.854 5.308
Sb 4.495 2.662 1.819
Sb 2.248 6.487 1.766
Sb 2.248 4.029 5.361
```